8
Lattice="4.327 0.000 0.000 0.000 4.133 0.000 0.000 0.000 11.245" Properties=species:S:1:pos:R:3 comment="PBE PmPrGePt, optimized geometry" e_form_kcal_per_mol_atoms=-22.69 n_ef_per_ev_cell=4.09 e_above_lowest_polymorph_mev_per_atom=0.0 pbc="T T T"
Pm 0.000 0.000 0.000
Pm 0.000 2.067 5.622
Pr 2.164 0.000 3.114
Pr 2.164 2.067 8.736
Ge 0.000 0.000 8.010
Ge 0.000 2.067 2.388
Pt 2.164 0.000 6.206
Pt 2.164 2.067 0.584

=====

10
Lattice="4.342 0.000 0.000 0.000 4.342 0.000 0.000 0.000 11.498" Properties=species:S:1:pos:R:3 comment="PBE Pm2PrGe4Pt3, optimized geometry" e_form_kcal_per_mol_atoms=-19.23 n_ef_per_ev_cell=4.07 pbc="T T T"
Pm 0.000 2.171 2.563
Pm 2.171 0.000 8.935
Pr 0.000 0.000 5.749
Ge 0.000 0.000 0.000
Ge 0.000 2.171 7.729
Ge 2.171 0.000 3.770
Ge 2.171 2.171 0.000
Pt 0.000 2.171 10.192
Pt 2.171 0.000 1.307
Pt 2.171 2.171 5.749

=====

9
Lattice="4.349 0.000 0.000 0.000 4.349 0.000 0.000 0.000 9.085" Properties=species:S:1:pos:R:3 comment="PBE PmPrGe2Pt5, optimized geometry" e_form_kcal_per_mol_atoms=-20.33 n_ef_per_ev_cell=3.60 pbc="T T T"
Pm 0.000 0.000 0.000
Pr 0.000 0.000 4.543
Ge 2.175 2.175 1.242
Ge 2.175 2.175 7.843
Pt 0.000 2.175 2.444
Pt 0.000 2.175 6.641
Pt 2.175 0.000 2.444
Pt 2.175 0.000 6.641
Pt 2.175 2.175 4.543

=====

16
Lattice="7.321 0.000 0.000 0.000 7.321 0.000 0.000 0.000 7.321" Properties=species:S:1:pos:R:3 comment="PBE PmPrGePt, optimized geometry" e_form_kcal_per_mol_atoms=-19.08 n_ef_per_ev_cell=5.28 e_above_lowest_polymorph_mev_per_atom=156.8 pbc="T T T"
Pm 0.000 0.000 0.000
Pm 0.000 3.660 3.660
Pm 3.660 0.000 3.660
Pm 3.660 3.660 0.000
Pr 0.000 0.000 3.660
Pr 0.000 3.660 0.000
Pr 3.660 0.000 0.000
Pr 3.660 3.660 3.660
Ge 1.830 1.830 5.491
Ge 1.830 5.491 1.830
Ge 5.491 1.830 1.830
Ge 5.491 5.491 5.491
Pt 1.830 1.830 1.830
Pt 1.830 5.491 5.491
Pt 5.491 1.830 5.491
Pt 5.491 5.491 1.830

=====

10
Lattice="4.363 0.000 0.000 0.000 4.363 0.000 0.000 0.000 11.378" Properties=species:S:1:pos:R:3 comment="PBE PmPr2Ge4Pt3, optimized geometry" e_form_kcal_per_mol_atoms=-20.17 n_ef_per_ev_cell=4.06 pbc="T T T"
Pm 0.000 0.000 0.000
Pr 0.000 2.182 8.268
Pr 2.182 0.000 3.110
Ge 0.000 0.000 5.689
Ge 0.000 2.182 1.914
Ge 2.182 0.000 9.464
Ge 2.182 2.182 5.689
Pt 0.000 2.182 4.396
Pt 2.182 0.000 6.982
Pt 2.182 2.182 0.000

=====

12
Lattice="2.954 -2.911 0.000 2.954 2.911 0.000 -2.139 0.000 14.017" Properties=species:S:1:pos:R:3 comment="PBE Pm2PrGe2Pt7, optimized geometry" e_form_kcal_per_mol_atoms=-21.07 n_ef_per_ev_cell=6.31 pbc="T T T"
Pm -0.085 0.000 5.025
Pm 3.854 0.000 8.992
Pr 0.000 0.000 0.000
Ge 0.800 0.000 10.411
Ge 2.969 0.000 3.606
Pt 1.488 1.452 2.237
Pt 0.993 0.000 7.983
Pt 2.281 1.452 11.780
Pt 2.954 0.000 0.000
Pt 1.488 -1.452 2.237
Pt 2.776 0.000 6.034
Pt 2.281 -1.452 11.780

=====

10
Lattice="4.237 0.000 0.000 0.000 4.237 0.000 0.000 0.000 11.269" Properties=species:S:1:pos:R:3 comment="PBE PmPr2Ge3Rh4, optimized geometry" e_form_kcal_per_mol_atoms=-19.26 n_ef_per_ev_cell=5.93 pbc="T T T"
Pm 0.000 0.000 0.000
Pr 0.000 2.118 8.199
Pr 2.118 0.000 3.070
Ge 0.000 2.118 4.292
Ge 2.118 0.000 6.977
Ge 2.118 2.118 0.000
Rh 0.000 0.000 5.634
Rh 0.000 2.118 1.822
Rh 2.118 0.000 9.447
Rh 2.118 2.118 5.634

=====

16
Lattice="7.217 0.000 0.000 0.000 7.217 0.000 0.000 0.000 7.217" Properties=species:S:1:pos:R:3 comment="PBE PmPrGeRu, optimized geometry" e_form_kcal_per_mol_atoms=-7.32 n_ef_per_ev_cell=9.06 e_above_lowest_polymorph_mev_per_atom=214.3 pbc="T T T"
Pm 0.000 0.000 0.000
Pm 0.000 3.608 3.608
Pm 3.608 0.000 3.608
Pm 3.608 3.608 0.000
Pr 0.000 0.000 3.608
Pr 0.000 3.608 0.000
Pr 3.608 0.000 0.000
Pr 3.608 3.608 3.608
Ge 1.804 1.804 5.412
Ge 1.804 5.412 1.804
Ge 5.412 1.804 1.804
Ge 5.412 5.412 5.412
Ru 1.804 1.804 1.804
Ru 1.804 5.412 5.412
Ru 5.412 1.804 5.412
Ru 5.412 5.412 1.804

=====

8
Lattice="3.949 0.000 0.000 0.000 4.403 0.000 0.000 0.000 11.228" Properties=species:S:1:pos:R:3 comment="PBE PmPrGeRu, optimized geometry" e_form_kcal_per_mol_atoms=-12.27 n_ef_per_ev_cell=4.43 e_above_lowest_polymorph_mev_per_atom=0.0 pbc="T T T"
Pm 0.000 0.000 0.000
Pm 0.000 2.201 5.614
Pr 1.975 0.000 3.141
Pr 1.975 2.201 8.755
Ge 0.000 0.000 7.808
Ge 0.000 2.201 2.194
Ru 1.975 0.000 6.175
Ru 1.975 2.201 0.561

=====

12
Lattice="4.275 0.000 0.000 -2.137 3.702 0.000 0.000 0.000 21.113" Properties=species:S:1:pos:R:3 comment="PBE PmPrGeSe, optimized geometry" raw_formation_energy_ev_per_atom=-1.3963 n_ef_per_ev_cell=4.08 pbc="T T T"
Pm 0.000 0.000 0.000
Pm 0.000 2.468 14.075
Pm 2.137 1.234 7.038
Pr 0.000 0.000 10.429
Pr 0.000 2.468 3.391
Pr 2.137 1.234 17.466
Ge 0.000 0.000 15.746
Ge 0.000 2.468 8.709
Ge 2.137 1.234 1.671
Se 0.000 0.000 5.249
Se 0.000 2.468 19.324
Se 2.137 1.234 12.287

=====

7
Lattice="2.101 1.213 11.548 -2.101 1.213 11.548 0.000 -2.426 11.548" Properties=species:S:1:pos:R:3 comment="PBE Pm2PrZn2Ge2, optimized geometry" e_form_kcal_per_mol_atoms=-11.23 n_ef_per_ev_cell=8.03 pbc="T T T"
Pm 0.000 0.000 4.252
Pm 0.000 0.000 30.393
Pr 0.000 0.000 0.000
Zn 0.000 0.000 13.661
Zn 0.000 0.000 20.984
Ge 0.000 0.000 9.313
Ge 0.000 0.000 25.333

=====

12
Lattice="6.615 -2.988 0.000 6.615 2.988 0.000 -2.745 0.000 8.072" Properties=species:S:1:pos:R:3 comment="PBE Pm3GePt2, optimized geometry" e_form_kcal_per_mol_atoms=-20.09 n_ef_per_ev_cell=8.31 pbc="T T T"
Pm 4.556 2.930 6.054
Pm 1.852 0.031 7.385
Pm 3.224 -0.031 3.349
Pm 7.261 0.031 4.723
Pm 8.634 -0.031 0.687
Pm 5.929 -2.930 2.018
Ge 5.929 0.058 2.018
Ge 4.556 -0.058 6.054
Pt 0.585 0.024 4.702
Pt 1.957 -0.024 0.666
Pt 8.528 0.024 7.405
Pt 9.900 -0.024 3.369

=====

14
Lattice="15.082 0.000 0.000 0.000 4.323 0.000 -3.343 0.000 6.575" Properties=species:S:1:pos:R:3 comment="PBE Pm4Ge2Pt, optimized geometry" e_form_kcal_per_mol_atoms=-15.63 n_ef_per_ev_cell=13.60 pbc="T T T"
Pm 0.408 0.000 2.936
Pm -1.338 2.162 6.539
Pm 5.536 0.000 0.036
Pm 3.790 2.162 3.639
Pm 7.949 2.162 2.936
Pm 6.203 0.000 6.539
Pm 13.077 2.162 0.036
Pm 11.331 0.000 3.639
Ge 1.063 2.162 4.787
Ge 3.135 0.000 1.788
Ge 8.604 0.000 4.787
Ge 10.676 2.162 1.788
Pt 0.000 0.000 0.000
Pt 7.541 2.162 0.000

=====

9
Lattice="4.905 -2.852 0.000 4.905 2.852 0.000 -1.512 0.000 6.087" Properties=species:S:1:pos:R:3 comment="PBE Pm2GePt6, optimized geometry" e_form_kcal_per_mol_atoms=-21.58 n_ef_per_ev_cell=3.95 pbc="T T T"
Pm 0.874 0.000 2.154
Pm 7.425 0.000 3.933
Ge 4.150 0.000 3.043
Pt 3.298 1.468 1.142
Pt 2.493 0.000 4.902
Pt 5.001 1.468 4.945
Pt 3.298 -1.468 1.142
Pt 5.806 0.000 1.184
Pt 5.001 -1.468 4.945

=====

12
Lattice="4.425 0.000 0.000 0.000 4.304 0.000 -2.127 0.000 13.104" Properties=species:S:1:pos:R:3 comment="PBE Pm3Ge7Pt2, optimized geometry" e_form_kcal_per_mol_atoms=-16.38 n_ef_per_ev_cell=5.01 pbc="T T T"
Pm 0.000 0.000 0.000
Pm 0.027 2.152 8.305
Pm 2.271 2.152 4.799
Ge 0.317 2.152 2.232
Ge 0.046 0.000 5.925
Ge 0.051 0.000 10.857
Ge 2.213 2.152 0.000
Ge 2.247 0.000 2.248
Ge 2.251 0.000 7.179
Ge 1.981 2.152 10.872
Pt -0.015 0.000 3.477
Pt 2.312 0.000 9.628

=====

14
Lattice="8.078 0.000 0.000 0.000 8.078 0.000 0.000 0.000 4.171" Properties=species:S:1:pos:R:3 comment="PBE PmGe4Pt2, optimized geometry" e_form_kcal_per_mol_atoms=-12.22 n_ef_per_ev_cell=6.54 e_above_lowest_polymorph_mev_per_atom=95.3 pbc="T T T"
Pm 0.000 0.000 0.000
Pm 4.039 4.039 2.085
Ge 0.655 2.545 2.085
Ge 1.494 4.694 0.000
Ge 2.545 0.655 2.085
Ge 3.384 6.585 0.000
Ge 4.694 1.494 0.000
Ge 5.533 7.423 2.085
Ge 6.585 3.384 0.000
Ge 7.423 5.533 2.085
Pt 1.741 6.337 2.085
Pt 2.298 2.298 0.000
Pt 5.781 5.781 0.000
Pt 6.337 1.741 2.085

=====

18
Lattice="8.358 -2.042 0.000 8.358 2.042 0.000 -2.989 0.000 9.721" Properties=species:S:1:pos:R:3 comment="PBE PmGe2Pt3, optimized geometry" e_form_kcal_per_mol_atoms=-19.79 n_ef_per_ev_cell=8.60 e_above_lowest_polymorph_mev_per_atom=0.0 pbc="T T T"
Pm 0.000 0.000 0.000
Pm 0.500 0.000 6.721
Pm 13.227 0.000 3.000
Ge 2.952 0.000 1.278
Ge 4.407 0.000 5.339
Ge 7.070 0.000 2.157
Ge 6.657 0.000 7.564
Ge 9.320 0.000 4.382
Ge 10.774 0.000 8.444
Pt -0.309 0.000 3.218
Pt 2.552 0.000 3.773
Pt 5.306 0.000 0.433
Pt 3.947 0.000 7.841
Pt 6.863 0.000 4.861
Pt 9.780 0.000 1.880
Pt 8.420 0.000 9.288
Pt 11.174 0.000 5.948
Pt 14.036 0.000 6.503

=====

12
Lattice="4.335 0.000 0.000 -2.167 3.754 0.000 0.000 0.000 15.129" Properties=species:S:1:pos:R:3 comment="PBE PmGePt2, optimized geometry" e_form_kcal_per_mol_atoms=-19.80 n_ef_per_ev_cell=7.51 pbc="T T T"
Pm 0.000 0.000 0.000
Pm 0.000 2.503 10.086
Pm 2.167 1.251 5.043
Ge 0.000 0.000 7.564
Ge 0.000 2.503 2.521
Ge 2.167 1.251 12.607
Pt 0.000 0.000 3.189
Pt 0.000 0.000 11.939
Pt 0.000 2.503 6.896
Pt 0.000 2.503 13.275
Pt 2.167 1.251 1.853
Pt 2.167 1.251 8.232

=====

14
Lattice="10.557 0.000 0.000 0.000 4.044 0.000 -2.913 0.000 6.493" Properties=species:S:1:pos:R:3 comment="PBE Pm2Ge2Pt3, optimized geometry" e_form_kcal_per_mol_atoms=-22.43 n_ef_per_ev_cell=5.81 pbc="T T T"
Pm 0.612 0.000 1.725
Pm 1.753 2.022 4.768
Pm 5.891 2.022 1.725
Pm 7.032 0.000 4.768
Ge -0.471 0.000 4.694
Ge 2.837 2.022 1.799
Ge 4.807 2.022 4.694
Ge 8.115 0.000 1.799
Pt -1.457 2.022 3.247
Pt -1.473 2.022 6.069
Pt 3.838 0.000 0.425
Pt 3.822 0.000 3.247
Pt 3.806 0.000 6.069
Pt 9.117 2.022 0.425

=====

12
Lattice="-2.051 2.051 14.013 2.051 -2.051 14.013 2.051 2.051 -14.013" Properties=species:S:1:pos:R:3 comment="PBE Pm3Ge2Pt7, optimized geometry" e_form_kcal_per_mol_atoms=-21.10 n_ef_per_ev_cell=5.83 e_above_lowest_polymorph_mev_per_atom=0.0 pbc="T T T"
Pm 0.000 0.000 0.000
Pm 0.000 0.000 4.924
Pm 0.000 0.000 23.102
Ge 0.000 0.000 10.385
Ge 0.000 0.000 17.640
Pt 2.051 0.000 2.211
Pt 0.000 0.000 7.906
Pt 2.051 0.000 11.802
Pt 0.000 0.000 14.013
Pt 0.000 2.051 2.211
Pt 0.000 0.000 20.120
Pt 0.000 2.051 11.802